# 1
ZrSn: relaxed, PBE-GGA. Values from VASP.

Space-group type ... P2_1/m, No. 11

Structure (Quantum ESPRESSO input):
```
&SYSTEM
  ibrav = 0, nat = 12, ntyp = 2
/
ATOMIC_SPECIES
Zr 91.22 Zr.upf
Sn 118.71 Sn.upf
ATOMIC_POSITIONS crystal
Zr 0.073 0.250 0.089
Zr 0.219 0.250 0.736
Zr 0.425 0.750 0.892
Zr 0.575 0.250 0.108
Zr 0.781 0.750 0.264
Zr 0.927 0.750 0.911
Sn 0.107 0.750 0.582
Sn 0.269 0.750 0.205
Sn 0.400 0.250 0.418
Sn 0.600 0.750 0.582
Sn 0.731 0.250 0.795
Sn 0.893 0.250 0.418
CELL_PARAMETERS angstrom
6.124 0.000 0.000
0.000 5.472 0.000
-1.070 0.000 8.363
```

***

# 2
ZrSn: relaxed, PBE-GGA. Values from VASP.

Space-group type ... Pmm2, No. 25

Structure (Quantum ESPRESSO input):
```
&SYSTEM
  ibrav = 0, nat = 8, ntyp = 2
/
ATOMIC_SPECIES
Zr 91.22 Zr.upf
Sn 118.71 Sn.upf
ATOMIC_POSITIONS crystal
Zr 0.000 0.000 0.000
Zr 0.000 0.257 0.496
Zr 0.000 0.743 0.496
Zr 0.500 0.000 0.587
Sn 0.000 0.500 0.997
Sn 0.500 0.237 0.093
Sn 0.500 0.500 0.589
Sn 0.500 0.763 0.093
CELL_PARAMETERS angstrom
5.281 0.000 0.000
0.000 6.503 0.000
0.000 0.000 5.365
```

***

# 3
ZrSn: relaxed, PBE-GGA. Values from VASP.

Space-group type ... F-43m, No. 216

Structure (Quantum ESPRESSO input):
```
&SYSTEM
  ibrav = 0, nat = 2, ntyp = 2
/
ATOMIC_SPECIES
Zr 91.22 Zr.upf
Sn 118.71 Sn.upf
ATOMIC_POSITIONS crystal
Zr 0.000 0.000 0.000
Sn 0.250 0.250 0.250
CELL_PARAMETERS angstrom
0.000 3.296 3.296
3.296 0.000 3.296
3.296 3.296 0.000
```

***

# 4
Zr3Sn: relaxed, PBE-GGA. Values from VASP.

Space-group type ... P6_3/mmc, No. 194

Structure (Quantum ESPRESSO input):
```
&SYSTEM
  ibrav = 0, nat = 8, ntyp = 2
/
ATOMIC_SPECIES
Zr 91.22 Zr.upf
Sn 118.71 Sn.upf
ATOMIC_POSITIONS crystal
Zr 0.167 0.335 0.250
Zr 0.167 0.833 0.250
Zr 0.335 0.167 0.750
Zr 0.665 0.833 0.250
Zr 0.833 0.167 0.750
Zr 0.833 0.665 0.750
Sn 0.333 0.667 0.750
Sn 0.667 0.333 0.250
CELL_PARAMETERS angstrom
6.313 0.000 0.000
-3.156 5.467 0.000
0.000 0.000 5.183
```

***

# 5
Zr4Sn3: relaxed, PBE-GGA. Values from VASP.

Space-group type ... P6_3/m, No. 176
Distance to the lowest polymorph of the same formula ... 0.00 eV/f.u.

Structure (Quantum ESPRESSO input):
```
&SYSTEM
  ibrav = 0, nat = 14, ntyp = 2
/
ATOMIC_SPECIES
Zr 91.22 Zr.upf
Sn 118.71 Sn.upf
ATOMIC_POSITIONS crystal
Zr 0.023 0.787 0.250
Zr 0.213 0.236 0.250
Zr 0.236 0.023 0.750
Zr 0.333 0.667 0.250
Zr 0.667 0.333 0.750
Zr 0.764 0.977 0.250
Zr 0.787 0.764 0.750
Zr 0.977 0.213 0.750
Sn 0.075 0.622 0.750
Sn 0.378 0.453 0.750
Sn 0.453 0.075 0.250
Sn 0.547 0.925 0.750
Sn 0.622 0.547 0.250
Sn 0.925 0.378 0.250
CELL_PARAMETERS angstrom
8.355 0.000 0.000
-4.178 7.236 0.000
0.000 0.000 5.290
```

***

# 6
Zr7Sn4: relaxed, PBE-GGA. Values from VASP.

Space-group type ... R-3m, No. 166

Structure (Quantum ESPRESSO input):
```
&SYSTEM
  ibrav = 0, nat = 11, ntyp = 2
/
ATOMIC_SPECIES
Zr 91.22 Zr.upf
Sn 118.71 Sn.upf
ATOMIC_POSITIONS crystal
Zr 0.000 0.000 0.000
Zr 0.108 0.603 0.603
Zr 0.397 0.397 0.892
Zr 0.397 0.892 0.397
Zr 0.603 0.108 0.603
Zr 0.603 0.603 0.108
Zr 0.892 0.397 0.397
Sn 0.122 0.122 0.122
Sn 0.333 0.333 0.333
Sn 0.667 0.667 0.667
Sn 0.878 0.878 0.878
CELL_PARAMETERS angstrom
3.025 1.746 7.939
-3.025 1.746 7.939
0.000 -3.493 7.939
```

***

Number 1: total energy -6.535 eV per atom, total magnetic moment 0.00 μB/f.u.. Number 2: total energy -6.528 eV per atom, total magnetic moment 0.02 μB/f.u.. Number 3: total energy -5.663 eV per atom, total magnetic moment 0.00 μB/f.u.. Number 4: total energy -7.772 eV per atom, total magnetic moment 0.00 μB/f.u.. Number 5: total energy -6.933 eV per atom, total magnetic moment 0.01 μB/f.u.. Number 6: total energy -7.345 eV per atom, total magnetic moment 0.02 μB/f.u..